VASP calculation (GGA-PBE) on crystalline Mn2Nb2ZnCo5 at its relaxed geometry.

Geometry as POSCAR:
```
Mn2Nb2ZnCo5
1.0
8.3374 0.0000 0.0000
0.0000 8.3374 0.0000
0.0000 0.0000 3.6599
Mn Nb Zn Co
4 4 2 10
Direct
0.1261 0.3739 0.0000
0.3739 0.8739 0.0000
0.6261 0.1261 0.0000
0.8739 0.6261 0.0000
0.1737 0.6737 0.0000
0.3263 0.1737 0.0000
0.6737 0.8263 0.0000
0.8263 0.3263 0.0000
0.0000 0.0000 0.0000
0.5000 0.5000 0.0000
0.0000 0.5000 0.5000
0.0671 0.2071 0.5000
0.2071 0.9329 0.5000
0.2929 0.4329 0.5000
0.4329 0.7071 0.5000
0.5000 0.0000 0.5000
0.5671 0.2929 0.5000
0.7071 0.5671 0.5000
0.7929 0.0671 0.5000
0.9329 0.7929 0.5000
```

Energy in eV per cell: -149.5
DOS at the Fermi energy in states/eV/cell: 25.51
Spin magnetization in μB/f.u.: 3.133
V in Å³/atom: 12.720
Calculated formation energy in eV/atom: 0.053